InBi4F2 | GGA-PBE | optimized geometry

abc: 7.8101 7.8101 7.8101
angles: 137.82 137.82 61.17
Atoms (fractional coordinates):
1 In 0.0000 0.0000 0.0000
2 Bi 0.0000 0.5000 0.5000
3 Bi 0.2390 0.2390 0.0000
4 Bi 0.5000 0.0000 0.5000
5 Bi 0.7610 0.7610 0.0000
6 F 0.4053 0.4053 0.0000
7 F 0.5947 0.5947 0.0000

As for the space-group type: I4/mmm (139). The value obtained for the raw formation energy is -0.248 eV per atom. The calculation puts the magnetic moment at 0.00 μB per formula unit. As for the density: 7.73 g/cm3. As for the uncorrected energy: -3.392 eV/atom.

***

In2BiF | GGA-PBE | optimized geometry

abc: 5.1680 5.1680 5.1680
angles: 60.00 60.00 60.00
Atoms (fractional coordinates):
1 In 0.2500 0.2500 0.2500
2 In 0.7500 0.7500 0.7500
3 Bi 0.0000 0.0000 0.0000
4 F 0.5000 0.5000 0.5000

As for the space-group type: Fm-3m (225). The value obtained for the raw formation energy is -0.641 eV per atom. The calculation puts the magnetic moment at 0.00 μB per formula unit. As for the density: 7.79 g/cm3. The calculation puts the excess energy over the best structure of this formula in the dataset at 91 meV per atom. As for the uncorrected energy: -3.449 eV/atom.

***

In2BiF | GGA-PBE | optimized geometry

abc: 3.4516 3.4516 8.2410
angles: 90.00 90.00 90.00
Atoms (fractional coordinates):
1 In 0.0000 0.0000 0.1876
2 In 0.0000 0.0000 0.8124
3 Bi 0.5000 0.5000 0.5000
4 F 0.5000 0.5000 0.0000

As for the space-group type: P4/mmm (123). The value obtained for the raw formation energy is -0.681 eV per atom. The calculation puts the magnetic moment at 0.00 μB per formula unit. As for the density: 7.74 g/cm3. The calculation puts the excess energy over the best structure of this formula in the dataset at 52 meV per atom. As for the uncorrected energy: -3.488 eV/atom.

***

InBiF3 | GGA-PBE | optimized geometry

abc: 4.7624 4.7624 4.7624
angles: 90.00 90.00 90.00
Atoms (fractional coordinates):
1 In 0.0000 0.0000 0.0000
2 Bi 0.5000 0.5000 0.5000
3 F 0.0000 0.5000 0.5000
4 F 0.5000 0.0000 0.5000
5 F 0.5000 0.5000 0.0000

As for the space-group type: Pm-3m (221). The value obtained for the raw formation energy is -1.677 eV per atom. The calculation puts the magnetic moment at 0.00 μB per formula unit. As for the density: 5.85 g/cm3. The calculation puts the excess energy over the best structure of this formula in the dataset at 0 meV per atom. As for the uncorrected energy: -4.124 eV/atom.

***

InBiF3 | GGA-PBE | optimized geometry

abc: 4.4759 4.4759 4.4759
angles: 90.00 90.00 90.00
Atoms (fractional coordinates):
1 In 0.0000 0.0000 0.0000
2 Bi 0.5000 0.5000 0.5000
3 F 0.0000 0.0000 0.5000
4 F 0.0000 0.5000 0.0000
5 F 0.5000 0.0000 0.0000

As for the space-group type: Pm-3m (221). The value obtained for the raw formation energy is -1.483 eV per atom. The calculation puts the magnetic moment at 0.00 μB per formula unit. As for the density: 7.05 g/cm3. The calculation puts the excess energy over the best structure of this formula in the dataset at 194 meV per atom. As for the uncorrected energy: -3.930 eV/atom.

***

InBiF2 | GGA-PBE | optimized geometry

abc: 8.4401 8.4401 8.4401
angles: 24.41 24.41 24.41
Atoms (fractional coordinates):
1 In 0.0000 0.0000 0.0000
2 Bi 0.5000 0.5000 0.5000
3 F 0.4056 0.4056 0.4056
4 F 0.5944 0.5944 0.5944

As for the space-group type: R-3m (166). The value obtained for the raw formation energy is -1.489 eV per atom. The calculation puts the magnetic moment at 0.00 μB per formula unit. As for the density: 6.66 g/cm3. The calculation puts the excess energy over the best structure of this formula in the dataset at 0 meV per atom. As for the uncorrected energy: -4.079 eV/atom.

***

In2BiF | GGA-PBE | optimized geometry

abc: 10.6636 10.6636 10.6636
angles: 18.64 18.64 18.64
Atoms (fractional coordinates):
1 In 0.0000 0.0000 0.0000
2 In 0.1977 0.1977 0.1977
3 Bi 0.7561 0.7561 0.7561
4 F 0.5749 0.5749 0.5749

As for the space-group type: R3m (160). The value obtained for the raw formation energy is -0.713 eV per atom. The calculation puts the magnetic moment at 0.00 μB per formula unit. As for the density: 7.02 g/cm3. The calculation puts the excess energy over the best structure of this formula in the dataset at 19 meV per atom. As for the uncorrected energy: -3.521 eV/atom.

***

InBiF | GGA-PBE | optimized geometry

abc: 5.2678 5.2678 5.2678
angles: 130.49 130.49 72.63
Atoms (fractional coordinates):
1 In 0.0000 0.0000 0.0000
2 Bi 0.4660 0.4660 0.0000
3 F 0.7330 0.7330 0.0000

As for the space-group type: I4mm (107). The value obtained for the raw formation energy is -0.824 eV per atom. The calculation puts the magnetic moment at 0.00 μB per formula unit. As for the density: 6.89 g/cm3. The calculation puts the excess energy over the best structure of this formula in the dataset at 42 meV per atom. As for the uncorrected energy: -3.654 eV/atom.

***

Number 3 is which compound?
In2BiF